{
  "formula": "Na2MoH2O3F4",
  "functional": "PBE with a Hubbard U",
  "state": "optimized geometry",
  "vol_a3_per_atom": 13.3,
  "m_tot_mub_per_cell": 0.0,
  "final_energy_ev_per_atom": -5.27,
  "spacegroup": "P2_12_12_1, No. 19",
  "lattice_angstrom": [[5.5134, 0.0000, 0.0000], [0.0000, 5.8482, 0.0000], [0.0000, 0.0000, 19.7984]],
  "species": ["Na", "Na", "Na", "Na", "Na", "Na", "Na", "Na", "Mo", "Mo", "Mo", "Mo", "H", "H", "H", "H", "H", "H", "H", "H", "O", "O", "O", "O", "O", "O", "O", "O", "O", "O", "O", "O", "F", "F", "F", "F", "F", "F", "F", "F", "F", "F", "F", "F", "F", "F", "F", "F"],
  "frac_coords": [[0.2359, 0.2246, 0.3620], [0.2393, 0.6683, 0.2507], [0.2607, 0.3317, 0.7507], [0.2641, 0.7754, 0.8620], [0.7359, 0.2754, 0.6380], [0.7393, 0.8317, 0.7493], [0.7607, 0.1683, 0.2493], [0.7641, 0.7246, 0.1380], [0.2305, 0.7733, 0.6383], [0.2695, 0.2267, 0.1383], [0.7305, 0.7267, 0.3617], [0.7695, 0.2733, 0.8617], [0.0254, 0.2160, 0.4956], [0.2126, 0.0153, 0.4972], [0.2874, 0.9847, 0.9972], [0.4746, 0.7840, 0.9956], [0.5254, 0.2840, 0.5044], [0.7126, 0.4847, 0.5028], [0.7874, 0.5153, 0.0028], [0.9746, 0.7160, 0.0044], [0.0418, 0.4226, 0.8671], [0.1537, 0.2062, 0.0573], [0.1862, 0.1696, 0.4788], [0.3138, 0.8304, 0.9788], [0.3463, 0.7938, 0.5573], [0.4582, 0.5774, 0.3671], [0.5418, 0.0774, 0.1329], [0.6537, 0.2938, 0.9427], [0.6862, 0.3304, 0.5212], [0.8138, 0.6696, 0.0212], [0.8463, 0.7062, 0.4427], [0.9582, 0.9226, 0.6329], [0.0236, 0.9128, 0.3229], [0.0800, 0.9657, 0.1758], [0.0968, 0.4643, 0.6313], [0.1438, 0.7204, 0.7437], [0.3562, 0.2796, 0.2437], [0.4032, 0.5357, 0.1313], [0.4200, 0.0343, 0.6758], [0.4764, 0.0872, 0.8229], [0.5236, 0.5872, 0.6771], [0.5800, 0.5343, 0.8242], [0.5968, 0.0357, 0.3687], [0.6438, 0.7796, 0.2563], [0.8562, 0.2204, 0.7563], [0.9032, 0.9643, 0.8687], [0.9200, 0.4657, 0.3242], [0.9764, 0.4128, 0.1771]]
}